Record 1
{
  "formula": "SrYTa2",
  "functional": "SCAN",
  "state": "PBEsol geometry",
  "e_tot_ev_per_atom": -45.1048,
  "space_group": "Imm2",
  "polymorph_energy_ev_per_fu": 0.00,
  "lattice": [[3.3310, 0.0000, 0.0000], [0.0000, 5.6684, 0.0000], [0.0000, 0.0000, 10.7619]],
  "species": ["Sr", "Sr", "Y", "Y", "Ta", "Ta", "Ta", "Ta"],
  "fractional_positions": [[0.0000, 0.0000, 0.0000], [0.5000, 0.5000, 0.5000], [0.0000, 0.5000, 0.2053], [0.5000, 0.0000, 0.7053], [0.0000, 0.0000, 0.4493], [0.0000, 0.5000, 0.7682], [0.5000, 0.0000, 0.2682], [0.5000, 0.5000, 0.9493]]
}

=====

Record 2
{
  "formula": "SrYTa2",
  "functional": "SCAN",
  "state": "PBEsol geometry",
  "e_tot_ev_per_atom": -44.8840,
  "space_group": "F-43m",
  "polymorph_energy_ev_per_fu": 0.88,
  "lattice": [[7.1565, 0.0000, 0.0000], [0.0000, 7.1565, 0.0000], [0.0000, 0.0000, 7.1565]],
  "species": ["Sr", "Sr", "Sr", "Sr", "Y", "Y", "Y", "Y", "Ta", "Ta", "Ta", "Ta", "Ta", "Ta", "Ta", "Ta"],
  "fractional_positions": [[0.0000, 0.0000, 0.0000], [0.0000, 0.5000, 0.5000], [0.5000, 0.0000, 0.5000], [0.5000, 0.5000, 0.0000], [0.2500, 0.2500, 0.2500], [0.2500, 0.7500, 0.7500], [0.7500, 0.2500, 0.7500], [0.7500, 0.7500, 0.2500], [0.0000, 0.0000, 0.5000], [0.0000, 0.5000, 0.0000], [0.2500, 0.2500, 0.7500], [0.2500, 0.7500, 0.2500], [0.5000, 0.0000, 0.0000], [0.5000, 0.5000, 0.5000], [0.7500, 0.2500, 0.2500], [0.7500, 0.7500, 0.7500]]
}

=====

Record 3
{
  "formula": "SrTaZn2",
  "functional": "SCAN",
  "state": "PBEsol geometry",
  "e_tot_ev_per_atom": -28.2907,
  "space_group": "I-4m2",
  "lattice": [[4.0888, 0.0000, 0.0000], [0.0000, 4.0888, 0.0000], [0.0000, 0.0000, 9.5678]],
  "species": ["Sr", "Sr", "Ta", "Ta", "Zn", "Zn", "Zn", "Zn"],
  "fractional_positions": [[0.0000, 0.0000, 0.0000], [0.5000, 0.5000, 0.5000], [0.0000, 0.5000, 0.2500], [0.5000, 0.0000, 0.7500], [0.0000, 0.0000, 0.5000], [0.0000, 0.5000, 0.7500], [0.5000, 0.0000, 0.2500], [0.5000, 0.5000, 0.0000]]
}

=====

Record 4
{
  "formula": "Sr3TaZn",
  "functional": "SCAN",
  "state": "PBEsol geometry",
  "e_tot_ev_per_atom": -28.3936,
  "space_group": "Pm-3m",
  "lattice": [[5.7976, 0.0000, 0.0000], [0.0000, 5.7976, 0.0000], [0.0000, 0.0000, 5.7976]],
  "species": ["Sr", "Sr", "Sr", "Ta", "Zn"],
  "fractional_positions": [[0.0000, 0.0000, 0.5000], [0.0000, 0.5000, 0.0000], [0.5000, 0.0000, 0.0000], [0.5000, 0.5000, 0.5000], [0.0000, 0.0000, 0.0000]]
}

=====

Record 5
{
  "formula": "SrTaZn2",
  "functional": "SCAN",
  "state": "PBEsol geometry",
  "e_tot_ev_per_atom": -28.1224,
  "space_group": "F-43m",
  "lattice": [[6.8727, 0.0000, 0.0000], [0.0000, 6.8727, 0.0000], [0.0000, 0.0000, 6.8727]],
  "species": ["Sr", "Sr", "Sr", "Sr", "Ta", "Ta", "Ta", "Ta", "Zn", "Zn", "Zn", "Zn", "Zn", "Zn", "Zn", "Zn"],
  "fractional_positions": [[0.0000, 0.0000, 0.0000], [0.0000, 0.5000, 0.5000], [0.5000, 0.0000, 0.5000], [0.5000, 0.5000, 0.0000], [0.2500, 0.2500, 0.7500], [0.2500, 0.7500, 0.2500], [0.7500, 0.2500, 0.2500], [0.7500, 0.7500, 0.7500], [0.0000, 0.0000, 0.5000], [0.0000, 0.5000, 0.0000], [0.2500, 0.2500, 0.2500], [0.2500, 0.7500, 0.7500], [0.5000, 0.0000, 0.0000], [0.5000, 0.5000, 0.5000], [0.7500, 0.2500, 0.7500], [0.7500, 0.7500, 0.2500]]
}

=====

Record 6
{
  "formula": "SrZr2Ta",
  "functional": "SCAN",
  "state": "PBEsol geometry",
  "e_tot_ev_per_atom": -37.0817,
  "space_group": "P4mm",
  "polymorph_energy_ev_per_fu": 0.00,
  "lattice": [[3.6458, 0.0000, 0.0000], [0.0000, 3.6458, 0.0000], [0.0000, 0.0000, 7.7414]],
  "species": ["Sr", "Zr", "Zr", "Ta"],
  "fractional_positions": [[0.0000, 0.0000, 0.0000], [0.0000, 0.0000, 0.4501], [0.5000, 0.5000, 0.6583], [0.5000, 0.5000, 0.2962]]
}

=====

Record 7
{
  "formula": "SrZr2Ta",
  "functional": "SCAN",
  "state": "PBEsol geometry",
  "e_tot_ev_per_atom": -36.9209,
  "space_group": "Immm",
  "polymorph_energy_ev_per_fu": 0.64,
  "lattice": [[3.0876, 0.0000, 0.0000], [0.0000, 5.8268, 0.0000], [0.0000, 0.0000, 10.9416]],
  "species": ["Sr", "Sr", "Zr", "Zr", "Zr", "Zr", "Ta", "Ta"],
  "fractional_positions": [[0.0000, 0.0000, 0.0000], [0.5000, 0.5000, 0.5000], [0.0000, 0.5000, 0.2169], [0.0000, 0.5000, 0.7831], [0.5000, 0.0000, 0.2831], [0.5000, 0.0000, 0.7169], [0.0000, 0.0000, 0.5000], [0.5000, 0.5000, 0.0000]]
}

=====

Record 8
{
  "formula": "SrZrTa3",
  "functional": "SCAN",
  "state": "PBEsol geometry",
  "e_tot_ev_per_atom": -47.8760,
  "space_group": "Pm-3m",
  "lattice": [[4.8133, 0.0000, 0.0000], [0.0000, 4.8133, 0.0000], [0.0000, 0.0000, 4.8133]],
  "species": ["Sr", "Zr", "Ta", "Ta", "Ta"],
  "fractional_positions": [[0.0000, 0.0000, 0.0000], [0.5000, 0.5000, 0.5000], [0.0000, 0.0000, 0.5000], [0.0000, 0.5000, 0.0000], [0.5000, 0.0000, 0.0000]]
}